(1)
# CdIrSe2

A PBEsol-optimized structure of CdIrSe2 (SCAN, Alexandria via LeMat-Bulk).

abc: 2.8399 2.8399 11.2413
angles: 82.74 82.74 60.00
Last column: nearest neighbours and their distance in Å.
Sites, in units of the cell vectors:
Ir 0.0000 0.0000 0.0000  2 Se 2.38
Se 0.9287 0.9287 0.2140  1 Ir 2.38
Se 0.0713 0.0713 0.7860  1 Ir 2.38
Cd 0.5000 0.5000 0.5000  6 Cd 2.84

Computed properties:
Formation energy without anion corrections ... 0.175 eV per atom
D(E_F) ... 1.7 states/eV/f.u.



(2)
# Sc2HgPt

A PBEsol-optimized structure of Sc2HgPt (SCAN, Alexandria via LeMat-Bulk).

abc: 3.3237 3.3237 6.8783
angles: 90.00 90.00 90.00
Last column: nearest neighbours and their distance in Å.
Sites, in units of the cell vectors:
Sc 0.0000 0.0000 0.2282  4 Pt 2.83, 4 Hg 3.00, 1 Sc 3.14
Sc 0.0000 0.0000 0.7718  4 Pt 2.83, 4 Hg 3.00, 1 Sc 3.14
Hg 0.5000 0.5000 0.5000  8 Sc 3.00, 4 Hg 3.32
Pt 0.5000 0.5000 0.0000  8 Sc 2.83

Computed properties:
Energy of formation ... -4.32 eV/f.u.
D(E_F) ... 1.7 states/eV/f.u.



(3)
# TaAl2Se

A PBEsol-optimized structure of TaAl2Se (SCAN, Alexandria via LeMat-Bulk).

abc: 3.1379 4.5966 5.4373
angles: 114.08 105.49 92.92
Last column: nearest neighbours and their distance in Å.
Sites, in units of the cell vectors:
Al 0.0000 0.0000 0.5000  4 Al 2.72-2.85, 2 Ta 2.75, 2 Se 2.75
Al 0.5000 0.5000 0.5000  4 Al 2.72-2.85, 2 Se 2.75, 2 Ta 2.75
Se 0.5000 0.0000 0.0000  4 Ta 2.72-2.85, 4 Al 2.75
Ta 0.0000 0.5000 0.0000  4 Se 2.72-2.85, 4 Al 2.75

Computed properties:
Formation energy without anion corrections ... 0.100 eV per atom
D(E_F) ... 2.1 states/eV/f.u.



(4)
# La2MnRh

A PBEsol-optimized structure of La2MnRh (SCAN, Alexandria via LeMat-Bulk).

abc: 4.8852 4.8852 4.8852
angles: 60.00 60.00 60.00
Last column: nearest neighbours and their distance in Å.
Sites, in units of the cell vectors:
La 0.0000 0.0000 0.0000  4 La 2.99, 4 Rh 2.99
La 0.7500 0.7500 0.7500  4 Mn 2.99, 4 La 2.99
Mn 0.5000 0.5000 0.5000  4 Rh 2.99, 4 La 2.99
Rh 0.2500 0.2500 0.2500  4 La 2.99, 4 Mn 2.99

Computed properties:
Offset from the most stable computed form ... 137 meV per atom
Energy of formation ... -0.89 eV/f.u.
D(E_F) ... 3.6 states/eV/f.u.



(5)
# TlCoSi2Se

A PBEsol-optimized structure of TlCoSi2Se (SCAN, Alexandria via LeMat-Bulk).

abc: 5.0367 5.0367 5.3313
angles: 90.00 90.00 90.00
Last column: nearest neighbours and their distance in Å.
Sites, in units of the cell vectors:
Tl 0.0000 0.0000 0.0000  4 Si 2.52, 2 Se 2.67
Co 0.5000 0.5000 0.5000  4 Se 3.56, 8 Si 3.67
Si 0.0000 0.5000 0.0000  2 Tl 2.52
Si 0.5000 0.0000 0.0000  2 Tl 2.52
Se 0.0000 0.0000 0.5000  2 Tl 2.67

Computed properties:
Formation energy without anion corrections ... 1.703 eV per atom
D(E_F) ... 2.4 states/eV/f.u.



(6)
# CaTlRh4

A PBEsol-optimized structure of CaTlRh4 (SCAN, Alexandria via LeMat-Bulk).

abc: 5.2148 5.2148 5.2148
angles: 60.00 60.00 60.00
Last column: nearest neighbours and their distance in Å.
Sites, in units of the cell vectors:
Ca 0.0000 0.0000 0.0000  12 Rh 3.06, 4 Tl 3.19
Rh 0.3754 0.3754 0.3754  6 Rh 2.60-2.62
Rh 0.3754 0.3754 0.8738  6 Rh 2.60-2.62
Rh 0.8738 0.3754 0.3754  6 Rh 2.60-2.62
Rh 0.3754 0.8738 0.3754  6 Rh 2.60-2.62
Tl 0.7500 0.7500 0.7500  12 Rh 3.06, 4 Ca 3.19

Computed properties:
Energy of formation ... -0.85 eV/f.u.
D(E_F) ... 7.6 states/eV/f.u.



(7)
# LiNbO2F2

A PBEsol-optimized structure of LiNbO2F2 (SCAN, Alexandria via LeMat-Bulk).

abc: 5.0497 7.4246 7.4846
angles: 102.34 90.00 90.00
Last column: nearest neighbours and their distance in Å.
Sites, in units of the cell vectors:
Li 0.7399 0.3328 0.6490  4 F 1.93-2.14, 1 O 2.12
Li 0.7601 0.8328 0.6490  4 F 1.93-2.14, 1 O 2.12
Li 0.2399 0.1672 0.3510  4 F 1.93-2.14, 1 O 2.12
Li 0.2601 0.6672 0.3510  4 F 1.93-2.14, 1 O 2.12
Nb 0.2333 0.1619 0.8320  3 O 1.84-1.96, 2 F 2.02-2.04
Nb 0.2667 0.6619 0.8320  3 O 1.84-1.96, 2 F 2.02-2.04
Nb 0.7333 0.3381 0.1680  3 O 1.84-1.96, 2 F 2.02-2.04
Nb 0.7667 0.8381 0.1680  3 O 1.84-1.96, 2 F 2.02-2.04
O 0.9244 0.3023 0.9420  2 Nb 1.92-1.96
O 0.5756 0.8023 0.9420  2 Nb 1.92-1.96
O 0.3963 0.4265 0.8050  1 Nb 1.84
O 0.1037 0.9265 0.8050  1 Nb 1.84
O 0.8963 0.0735 0.1950  1 Nb 1.84
O 0.6037 0.5735 0.1950  1 Nb 1.84
O 0.4244 0.1977 0.0580  2 Nb 1.92-1.96
O 0.0756 0.6977 0.0580  2 Nb 1.92-1.96
F 0.5674 0.0814 0.6892  1 Nb 2.02, 2 Li 2.05-2.14
F 0.0782 0.1927 0.5882  2 Li 1.93-2.00, 1 Nb 2.04
F 0.9326 0.5814 0.6892  1 Nb 2.02, 2 Li 2.05-2.14
F 0.4218 0.6927 0.5882  2 Li 1.93-2.00, 1 Nb 2.04
F 0.5782 0.3073 0.4118  2 Li 1.93-2.00, 1 Nb 2.04
F 0.0674 0.4186 0.3108  1 Nb 2.02, 2 Li 2.05-2.14
F 0.9218 0.8073 0.4118  2 Li 1.93-2.00, 1 Nb 2.04
F 0.4326 0.9186 0.3108  1 Nb 2.02, 2 Li 2.05-2.14

Computed properties:
Formation energy without anion corrections ... -2.988 eV per atom
D(E_F) ... 0.0 states/eV/f.u.



(8)
# ZnHBr3

A PBEsol-optimized structure of ZnHBr3 (SCAN, Alexandria via LeMat-Bulk).

abc: 5.0717 5.0717 5.0717
angles: 90.00 90.00 90.00
Last column: nearest neighbours and their distance in Å.
Sites, in units of the cell vectors:
H 0.5000 0.5000 0.5000  12 Br 3.59
Zn 0.0000 0.0000 0.0000  6 Br 2.54
Br 0.0000 0.5000 0.0000  2 Zn 2.54
Br 0.0000 0.0000 0.5000  2 Zn 2.54
Br 0.5000 0.0000 0.0000  2 Zn 2.54

Computed properties:
Final energy ... -74.358 eV per cell
D(E_F) ... 6.6 states/eV/f.u.